# 1
Entry from Alexandria via LeMat-Bulk: an optimized crystal structure of ZnIn2HPb (PBE).

DFT total energy = -2.5744 eV/atom
DOS(E_F) = 0.304 states/eV/atom
mass density = 7.51 g/cm3
symmetry = P4/mmm, No. 123

Lattice parameters (Å, degrees): 5.6347 5.6347 3.5064 90.00 90.00 90.00
Fractional positions:
Zn1 0.0000 0.0000 0.0000
H1 0.0000 0.0000 0.5000
In1 0.5000 0.0000 0.0000
In2 0.0000 0.5000 0.0000
Pb1 0.5000 0.5000 0.5000

# 2
Entry from Alexandria via LeMat-Bulk: an optimized crystal structure of SmCd5Rh (PBE).

DFT total energy = -2.5925 eV/atom
DOS(E_F) = 0.695 states/eV/atom
calculated formation energy = -0.215 eV per atom
mass density = 8.21 g/cm3
symmetry = P4/mmm, No. 123

Lattice parameters (Å, degrees): 4.7348 4.7348 7.3536 90.00 90.00 90.00
Fractional positions:
Cd1 0.0000 0.5000 0.3003
Cd2 0.0000 0.5000 0.6997
Cd3 0.5000 0.5000 0.0000
Cd4 0.5000 0.0000 0.6997
Cd5 0.5000 0.0000 0.3003
Rh1 0.0000 0.0000 0.5000
Sm1 0.0000 0.0000 0.0000

# 3
Entry from Alexandria via LeMat-Bulk: an optimized crystal structure of HoTiCu2 (PBE).

DFT total energy = -5.2139 eV/atom
DOS(E_F) = 1.047 states/eV/atom
calculated formation energy = -0.048 eV per atom
ΔE to the lowest computed polymorph = 56 meV/atom
mass density = 8.03 g/cm3
symmetry = P4/mmm, No. 123

Lattice parameters (Å, degrees): 3.3035 4.6116 4.6116 90.00 90.00 90.00
Site moments in Bohr magnetons follow the coordinates.
Fractional positions:
Ti1 0.5000 0.0000 0.0000  0.89
Cu1 0.0000 0.5000 0.0000  0.04
Cu2 0.0000 0.0000 0.5000  0.04
Ho1 0.5000 0.5000 0.5000  0.08